--- A ---
## BeIn2S (GGA-PBE)

Data for a geometry-optimized BeIn2S structure.

a b c (Å): 4.9380 4.9380 4.9380
angles (deg): 60.00 60.00 60.00
Closest atoms and distances in Å follow each position.
Sites, in units of the cell vectors:
1 Be 0.0000 0.0000 0.0000  8 In 3.02
2 In 0.2500 0.2500 0.2500  4 S 3.02, 4 Be 3.02
3 In 0.7500 0.7500 0.7500  4 S 3.02, 4 Be 3.02
4 S 0.5000 0.5000 0.5000  8 In 3.02

Computed properties:
* spin magnetization: 0.000 μB/f.u.
* volume: 21.29 Å³ per atom


--- B ---
## BeIn2S (GGA-PBE)

Data for a geometry-optimized BeIn2S structure.

a b c (Å): 6.9527 6.9527 6.9527
angles (deg): 127.38 127.38 77.63
Closest atoms and distances in Å follow each position.
Sites, in units of the cell vectors:
1 Be 0.0000 0.0000 0.0000  4 In 2.48
2 Be 0.7500 0.2500 0.5000  4 In 2.48
3 In 0.1010 0.6250 0.9760  2 Be 2.48, 2 S 2.66
4 In 0.3750 0.3510 0.4760  2 Be 2.48, 2 S 2.66
5 In 0.6490 0.1250 0.0240  2 Be 2.48, 2 S 2.66
6 In 0.8750 0.8990 0.5240  2 Be 2.48, 2 S 2.66
7 S 0.2500 0.7500 0.5000  4 In 2.66
8 S 0.5000 0.5000 0.0000  4 In 2.66

Computed properties:
* spin magnetization: 0.000 μB/f.u.
* volume: 25.72 Å³ per atom


Computed energies relative to the best structure, in kJ/mol of atoms: A 31.8; B 0.0


--- A ---
## BeIn2Sb (GGA-PBE)

Data for a geometry-optimized BeIn2Sb structure.

a b c (Å): 4.9202 4.9202 4.1449
angles (deg): 90.00 90.00 107.07
Closest atoms and distances in Å follow each position.
Sites, in units of the cell vectors:
1 Be 0.0000 0.0000 0.0000  2 Sb 2.92, 8 In 3.22
2 In 0.0000 0.5000 0.5000  2 In 2.92, 4 Sb 3.22, 4 Be 3.22
3 In 0.5000 0.0000 0.5000  2 In 2.92, 4 Sb 3.22, 4 Be 3.22
4 Sb 0.5000 0.5000 0.0000  2 Be 2.92, 8 In 3.22

Computed properties:
* spin magnetization: 0.000 μB/f.u.
* volume: 23.98 Å³ per atom


--- B ---
## BeIn2Sb (GGA-PBE)

Data for a geometry-optimized BeIn2Sb structure.

a b c (Å): 7.1699 7.1699 7.1699
angles (deg): 125.69 125.69 80.40
Closest atoms and distances in Å follow each position.
Sites, in units of the cell vectors:
1 Be 0.0000 0.0000 0.0000  4 In 2.51
2 Be 0.7500 0.2500 0.5000  4 In 2.51
3 In 0.0758 0.6250 0.9508  2 Be 2.51
4 In 0.3750 0.3258 0.4508  2 Be 2.51
5 In 0.6742 0.1250 0.0492  2 Be 2.51
6 In 0.8750 0.9242 0.5492  2 Be 2.51
7 Sb 0.2500 0.7500 0.5000  4 In 2.90
8 Sb 0.5000 0.5000 0.0000  4 In 2.90

Computed properties:
* spin magnetization: 0.000 μB/f.u.
* volume: 29.32 Å³ per atom


--- C ---
## BeIn2Sb (GGA-PBE)

Data for a geometry-optimized BeIn2Sb structure.

a b c (Å): 5.1607 5.1607 5.1607
angles (deg): 60.00 60.00 60.00
Closest atoms and distances in Å follow each position.
Sites, in units of the cell vectors:
1 Be 0.0000 0.0000 0.0000  8 In 3.16
2 In 0.2500 0.2500 0.2500  4 Sb 3.16, 4 Be 3.16
3 In 0.7500 0.7500 0.7500  4 Sb 3.16, 4 Be 3.16
4 Sb 0.5000 0.5000 0.5000  8 In 3.16

Computed properties:
* spin magnetization: 0.000 μB/f.u.
* volume: 24.30 Å³ per atom


--- D ---
## BeIn2Sb (GGA-PBE)

Data for a geometry-optimized BeIn2Sb structure.

a b c (Å): 5.5059 5.5059 5.3076
angles (deg): 112.94 112.94 38.94
Closest atoms and distances in Å follow each position.
Sites, in units of the cell vectors:
1 Be 0.0000 0.0000 0.0000  4 In 2.71
2 In 0.2899 0.2899 0.7955  2 Be 2.71
3 In 0.7101 0.7101 0.2045  2 Be 2.71
4 Sb 0.5000 0.5000 0.5000  8 In 3.17-3.46, 4 Be 3.23

Computed properties:
* spin magnetization: 0.000 μB/f.u.
* volume: 23.02 Å³ per atom


Computed energies relative to the best structure, in kJ/mol of atoms: A 5.6; B 3.1; C 9.3; D 0.0